Computed, not measured: a geometry-optimized Ho7Br12N structure at the PBE level of DFT.

## Properties
Calculated total energy in eV/cell: -93.2
E_form (uncorrected) in eV/atom: -1.64

Cell: 8.9007 8.9007 8.9007 Å, 107.88 107.88 107.88°
Closest atoms and distances in Å follow each position.
Element x y z (fractional)
Ho 0.0000 0.0000 0.0000  6 Br 2.84
Ho 0.2032 0.4683 0.3996  1 N 2.41
Ho 0.3996 0.2032 0.4683  1 N 2.41
Ho 0.4683 0.3996 0.2032  1 N 2.41
Ho 0.5317 0.6004 0.7968  1 N 2.41
Ho 0.6004 0.7968 0.5317  1 N 2.41
Ho 0.7968 0.5317 0.6004  1 N 2.41
Br 0.0328 0.1138 0.3482  3 Ho 2.84-2.87
Br 0.1138 0.3482 0.0328  3 Ho 2.84-2.87
Br 0.1889 0.5781 0.7259  2 Ho 2.82-2.85
Br 0.2741 0.8111 0.4219  2 Ho 2.82-2.85
Br 0.3482 0.0328 0.1138  3 Ho 2.84-2.87
Br 0.4219 0.2741 0.8111  2 Ho 2.82-2.85
Br 0.5781 0.7259 0.1889  2 Ho 2.82-2.85
Br 0.6518 0.9672 0.8862  3 Ho 2.84-2.87
Br 0.7259 0.1889 0.5781  2 Ho 2.82-2.85
Br 0.8111 0.4219 0.2741  2 Ho 2.82-2.85
Br 0.8862 0.6518 0.9672  3 Ho 2.84-2.87
Br 0.9672 0.8862 0.6518  3 Ho 2.84-2.87
N 0.5000 0.5000 0.5000  6 Ho 2.41